This record from Alexandria via LeMat-Bulk describes a geometry-optimized La4Pm5Tm structure. The functional is PBE.

Calculated values
The calculation puts the energy relative to the lowest polymorph listed for this composition at 0 meV per atom. The symmetry is C2/m (12). The calculation puts the electronic total energy at -0.3479 Ry per atom. The density of states at the Fermi level comes out at 15.6 states/eV per cell. The calculation puts the total magnetic moment at 0.00 μB per formula unit.

abc: 8.9175 8.9175 11.8044
angles: 108.88 108.88 23.29
Closest atoms and distances in Å follow each position.
Positions (direct):
La 0.0913 0.0913 0.2981  6 Pm 3.50-3.81, 4 La 3.60-3.71, 2 Tm 3.74
La 0.3944 0.3944 0.2032  6 Pm 3.34-3.72, 1 Tm 3.38, 4 La 3.60-3.71
La 0.6056 0.6056 0.7968  6 Pm 3.34-3.72, 1 Tm 3.38, 4 La 3.60-3.71
La 0.9087 0.9087 0.7019  6 Pm 3.50-3.81, 4 La 3.60-3.71, 2 Tm 3.74
Pm 0.1921 0.1921 0.0867  4 La 3.34-3.72, 4 Pm 3.60-3.64
Pm 0.2048 0.2048 0.6077  5 La 3.54-3.81, 6 Pm 3.60-3.90, 2 Tm 3.83
Pm 0.5000 0.5000 0.0000  6 La 3.48-3.80, 6 Pm 3.60-3.64
Pm 0.7952 0.7952 0.3923  5 La 3.54-3.81, 6 Pm 3.60-3.90, 2 Tm 3.83
Pm 0.8079 0.8079 0.9133  4 La 3.34-3.72, 4 Pm 3.60-3.64
Tm 0.5000 0.5000 0.5000  6 La 3.38-3.74, 2 Tm 3.60